The following is a DFT calculation (GGA-PBE) of an optimized crystal structure of Rb3WBr6.

## Properties
- E (eV/f.u.) = -37.08
- ρ (g cm⁻³) = 3.861

The structure in CIF format:
```
data_Rb3WBr6
_cell_length_a 11.6520
_cell_length_b 11.6520
_cell_length_c 11.6520
_cell_angle_alpha 90.00
_cell_angle_beta 90.00
_cell_angle_gamma 90.00
_space_group_name_H-M_alt 'F m -3 m'
_space_group_IT_number 225
_space_group_name_Hall '-F 4 2 3'
loop_
_atom_site_label
_atom_site_type_symbol
_atom_site_fract_x
_atom_site_fract_y
_atom_site_fract_z
_atom_site_occupancy
Rb1 Rb 0.0000 0.0000 0.0000 1
Rb2 Rb 0.2500 0.2500 0.2500 1
W1 W 0.0000 0.0000 0.5000 1
Br1 Br 0.0000 0.0000 0.2770 1
```